(1)
The following is a DFT calculation (PBE-GGA) of crystalline La2ErC2Br2 at its relaxed geometry.

```
data_La2ErC2Br2
_chemical_formula_sum 'La4 Er2 C4 Br4'
_space_group_name_H-M_alt 'I 4/m m m'
_space_group_IT_number 139
_space_group_name_Hall '-I 4 2'
_cell_length_a 4.5585
_cell_length_b 4.5585
_cell_length_c 15.8883
_cell_angle_alpha 90.00
_cell_angle_beta 90.00
_cell_angle_gamma 90.00
loop_
_atom_site_label
_atom_site_fract_x
_atom_site_fract_y
_atom_site_fract_z
_atom_site_occupancy
La1 0.0000 0.0000 0.1000 1
Er1 0.0000 0.0000 0.5000 1
C1 0.0000 0.5000 0.0000 1
Br1 0.0000 0.0000 0.3130 1
```

## Properties
**DOS(E_F)**: 1.81 states/eV/cell
**Electronic total energy**: -5.9536 eV per atom
**Density**: 6.33 Mg/m³

***

(2)
The following is a DFT calculation (PBE-GGA) of crystalline NdErCBr at its relaxed geometry.

```
data_NdErCBr
_chemical_formula_sum 'Nd3 Er3 C3 Br3'
_space_group_name_H-M_alt 'R 3 m'
_space_group_IT_number 160
_space_group_name_Hall 'R 3 -2"'
_cell_length_a 3.7162
_cell_length_b 3.7162
_cell_length_c 21.8604
_cell_angle_alpha 90.00
_cell_angle_beta 90.00
_cell_angle_gamma 120.00
loop_
_atom_site_label
_atom_site_fract_x
_atom_site_fract_y
_atom_site_fract_z
_atom_site_occupancy
Nd1 0.0000 0.0000 0.0000 1
Er1 0.0000 0.0000 0.7873 1
C1 0.0000 0.0000 0.4007 1
Br1 0.0000 0.0000 0.2211 1
```

## Properties
**DOS(E_F)**: 6.48 states/eV/cell
**Electronic total energy**: -5.9745 eV per atom
**Density**: 7.69 Mg/m³

***

(3)
The following is a DFT calculation (PBE-GGA) of crystalline ErC2BrO6 at its relaxed geometry.

```
data_ErC2BrO6
_chemical_formula_sum 'Er4 C8 Br4 O24'
_space_group_name_H-M_alt 'C 1 2/c 1'
_space_group_IT_number 15
_space_group_name_Hall '-C 2yc'
_cell_length_a 9.1832
_cell_length_b 9.1150
_cell_length_c 7.3908
_cell_angle_alpha 90.00
_cell_angle_beta 121.36
_cell_angle_gamma 90.00
loop_
_atom_site_label
_atom_site_fract_x
_atom_site_fract_y
_atom_site_fract_z
_atom_site_occupancy
Er1 0.0000 0.0749 0.2500 1
C1 0.2463 0.3542 0.2233 1
Br1 0.0000 0.4034 0.7500 1
O1 0.1169 0.0936 0.6114 1
O2 0.1532 0.2566 0.2303 1
O3 0.2238 0.4175 0.0487 1
```

## Properties
**DOS(E_F)**: 0.00 states/eV/cell
**Electronic total energy**: -7.1691 eV per atom
**Density**: 4.62 Mg/m³

***

(4)
The following is a DFT calculation (PBE-GGA) of crystalline Pm2ErC2Br2 at its relaxed geometry.

```
data_Pm2ErC2Br2
_chemical_formula_sum 'Pm4 Er2 C4 Br4'
_space_group_name_H-M_alt 'I 4/m m m'
_space_group_IT_number 139
_space_group_name_Hall '-I 4 2'
_cell_length_a 4.5082
_cell_length_b 4.5082
_cell_length_c 15.5104
_cell_angle_alpha 90.00
_cell_angle_beta 90.00
_cell_angle_gamma 90.00
loop_
_atom_site_label
_atom_site_fract_x
_atom_site_fract_y
_atom_site_fract_z
_atom_site_occupancy
Pm1 0.0000 0.0000 0.0997 1
Er1 0.0000 0.0000 0.5000 1
C1 0.0000 0.5000 0.0000 1
Br1 0.0000 0.0000 0.3095 1
```

## Properties
**DOS(E_F)**: 1.77 states/eV/cell
**Electronic total energy**: -5.7846 eV per atom
**Density**: 6.75 Mg/m³

***

(5)
The following is a DFT calculation (PBE-GGA) of crystalline PmErCBr at its relaxed geometry.

```
data_PmErCBr
_chemical_formula_sum 'Pm3 Er3 C3 Br3'
_space_group_name_H-M_alt 'R 3 m'
_space_group_IT_number 160
_space_group_name_Hall 'R 3 -2"'
_cell_length_a 3.7053
_cell_length_b 3.7053
_cell_length_c 21.7096
_cell_angle_alpha 90.00
_cell_angle_beta 90.00
_cell_angle_gamma 120.00
loop_
_atom_site_label
_atom_site_fract_x
_atom_site_fract_y
_atom_site_fract_z
_atom_site_occupancy
Pm1 0.0000 0.0000 0.0000 1
Er1 0.0000 0.0000 0.7871 1
C1 0.0000 0.0000 0.3998 1
Br1 0.0000 0.0000 0.2220 1
```

## Properties
**DOS(E_F)**: 6.22 states/eV/cell
**Electronic total energy**: -5.9824 eV per atom
**Density**: 7.80 Mg/m³

***

(6)
The following is a DFT calculation (PBE-GGA) of crystalline PrErCBr at its relaxed geometry.

```
data_PrErCBr
_chemical_formula_sum 'Pr3 Er3 C3 Br3'
_space_group_name_H-M_alt 'R 3 m'
_space_group_IT_number 160
_space_group_name_Hall 'R 3 -2"'
_cell_length_a 3.7262
_cell_length_b 3.7262
_cell_length_c 22.0213
_cell_angle_alpha 90.00
_cell_angle_beta 90.00
_cell_angle_gamma 120.00
loop_
_atom_site_label
_atom_site_fract_x
_atom_site_fract_y
_atom_site_fract_z
_atom_site_occupancy
Pr1 0.0000 0.0000 0.0000 1
Er1 0.0000 0.0000 0.7874 1
C1 0.0000 0.0000 0.4016 1
Br1 0.0000 0.0000 0.2200 1
```

## Properties
**DOS(E_F)**: 6.65 states/eV/cell
**Electronic total energy**: -5.9666 eV per atom
**Density**: 7.53 Mg/m³

***

(7)
The following is a DFT calculation (PBE-GGA) of crystalline Sm2ErC2Br2 at its relaxed geometry.

```
data_Sm2ErC2Br2
_chemical_formula_sum 'Sm4 Er2 C4 Br4'
_space_group_name_H-M_alt 'I 4/m m m'
_space_group_IT_number 139
_space_group_name_Hall '-I 4 2'
_cell_length_a 4.5007
_cell_length_b 4.5007
_cell_length_c 15.4185
_cell_angle_alpha 90.00
_cell_angle_beta 90.00
_cell_angle_gamma 90.00
loop_
_atom_site_label
_atom_site_fract_x
_atom_site_fract_y
_atom_site_fract_z
_atom_site_occupancy
Sm1 0.0000 0.0000 0.0994 1
Er1 0.0000 0.0000 0.5000 1
C1 0.0000 0.5000 0.0000 1
Br1 0.0000 0.0000 0.3087 1
```

## Properties
**DOS(E_F)**: 1.81 states/eV/cell
**Electronic total energy**: -5.7645 eV per atom
**Density**: 6.93 Mg/m³

***

(8)
The following is a DFT calculation (PBE-GGA) of crystalline TbErCBr at its relaxed geometry.

```
data_TbErCBr
_chemical_formula_sum 'Tb3 Er3 C3 Br3'
_space_group_name_H-M_alt 'R 3 m'
_space_group_IT_number 160
_space_group_name_Hall 'R 3 -2"'
_cell_length_a 3.6692
_cell_length_b 3.6692
_cell_length_c 21.3312
_cell_angle_alpha 90.00
_cell_angle_beta 90.00
_cell_angle_gamma 120.00
loop_
_atom_site_label
_atom_site_fract_x
_atom_site_fract_y
_atom_site_fract_z
_atom_site_occupancy
Tb1 0.0000 0.0000 0.0000 1
Er1 0.0000 0.0000 0.7862 1
C1 0.0000 0.0000 0.3969 1
Br1 0.0000 0.0000 0.2244 1
```

## Properties
**DOS(E_F)**: 5.58 states/eV/cell
**Electronic total energy**: -5.9720 eV per atom
**Density**: 8.37 Mg/m³

***

- Which formula does entry 5 have?
  PmErCBr

***

- Which of these has the lowest DOS(E_F)?
  ErC2BrO6

***

- Which value of density does entry 3 give?
  4.62 Mg/m³

***

- The highest electronic total energy belongs to which entry?
  Sm2ErC2Br2